Run 1
Here is PmHfHg2 after structural relaxation from Alexandria. Energies are from PBE-GGA.

**Calculated volume**: 96.84 Å³/cell

Cell: 3.5877 3.5877 7.5237 Å, 90.00 90.00 90.00°
Last column: nearest neighbours and their distance in Å.
Space group P4/mmm (No. 123)
Asymmetric unit:
Pm  0.0000  0.0000  0.0000 x1  8 Hg 3.30, 4 Pm 3.59
Hf  0.0000  0.0000  0.5000 x1  8 Hg 3.03
Hg  0.5000  0.5000  0.2797 x2  4 Hf 3.03, 4 Pm 3.30, 1 Hg 3.32

---

Run 2
Here is PmHfHg2 after structural relaxation from Alexandria. Energies are from PBE-GGA.

**Calculated volume**: 391.08 Å³/cell

Cell: 7.3129 7.3129 7.3129 Å, 90.00 90.00 90.00°
Last column: nearest neighbours and their distance in Å.
Space group Fm-3m (No. 225)
Asymmetric unit:
Pm  0.0000  0.0000  0.0000 x4  8 Hg 3.17
Hf  0.0000  0.0000  0.5000 x4  8 Hg 3.17
Hg  0.2500  0.2500  0.2500 x8  4 Hf 3.17, 4 Pm 3.17

---

The structure with the greatest stability is run 1.

---

Run 1
Here is RbHfHg2 after structural relaxation from Alexandria. Energies are from PBE-GGA.

**Calculated volume**: 445.08 Å³/cell

Cell: 7.6351 7.6351 7.6351 Å, 90.00 90.00 90.00°
Last column: nearest neighbours and their distance in Å.
Space group Fm-3m (No. 225)
Asymmetric unit:
Rb  0.0000  0.0000  0.0000 x4  8 Hg 3.31
Hf  0.0000  0.0000  0.5000 x4  8 Hg 3.31
Hg  0.2500  0.2500  0.2500 x8  4 Hf 3.31, 4 Rb 3.31

---

Run 2
Here is RbHfHg2 after structural relaxation from Alexandria. Energies are from PBE-GGA.

**Calculated volume**: 552.26 Å³/cell

Cell: 8.4424 8.4424 7.7484 Å, 90.00 90.00 90.00°
Last column: nearest neighbours and their distance in Å.
Space group I-42d (No. 122)
Asymmetric unit:
Rb  0.0000  0.0000  0.0000 x4  8 Hg 3.52-3.92, 2 Hf 3.87
Hf  0.0000  0.0000  0.5000 x4  4 Hg 2.80
Hg  0.1860  0.7500  0.6250 x8  2 Hf 2.80

---

The structure with the greatest stability is run 1.

---

Run 1
Here is Hf3ReHg after structural relaxation from Alexandria. Energies are from PBE-GGA.

**Calculated volume**: 127.93 Å³/cell

Cell: 5.0388 5.0388 5.0388 Å, 90.00 90.00 90.00°
Last column: nearest neighbours and their distance in Å.
Space group Pm-3m (No. 221)
Asymmetric unit:
Hf  0.0000  0.0000  0.5000 x3  2 Re 2.52
Re  0.0000  0.0000  0.0000 x1  6 Hf 2.52
Hg  0.5000  0.5000  0.5000 x1  12 Hf 3.56

---

Run 2
Here is Hf3ReHg after structural relaxation from Alexandria. Energies are from PBE-GGA.

**Calculated volume**: 129.63 Å³/cell

Cell: 5.0610 5.0610 5.0610 Å, 90.00 90.00 90.00°
Last column: nearest neighbours and their distance in Å.
Space group Pm-3m (No. 221)
Asymmetric unit:
Hf  0.0000  0.0000  0.5000 x3  2 Hg 2.53
Re  0.5000  0.5000  0.5000 x1  12 Hf 3.58
Hg  0.0000  0.0000  0.0000 x1  6 Hf 2.53

---

The structure with the greatest stability is run 1.